# 1
Density functional theory data (PBE) for a relaxed MgTlGaNi crystal.

Summary:
- Electronic total energy: -3.014 eV per atom
- Relative energy among the computed polymorphs: 0.0 kJ/mol of atoms

Unit cell a=4.666 b=4.666 c=4.666 alpha=60.00 beta=60.00 gamma=60.00
Fractional positions:
Tl: 0.000 0.000 0.000
Mg: 0.750 0.750 0.750
Ga: 0.500 0.500 0.500
Ni: 0.250 0.250 0.250

---

# 2
Density functional theory data (PBE) for a relaxed NdSm2Al2Fe4 crystal.

Summary:
- Electronic total energy: -6.220 eV per atom

Unit cell a=5.540 b=5.540 c=8.207 alpha=99.01 beta=99.01 gamma=43.98
Fractional positions:
Sm: 0.627 0.627 0.378
Sm: 0.373 0.373 0.622
Al: 0.325 0.325 0.226
Nd: 0.000 0.000 0.000
Fe: 0.080 0.080 0.629
Fe: 0.750 0.750 0.077
Al: 0.675 0.675 0.774
Fe: 0.250 0.250 0.923
Fe: 0.920 0.920 0.371

---

# 3
Density functional theory data (PBE) for a relaxed BaCdHgTe3 crystal.

Summary:
- Electronic total energy: -2.735 eV per atom
- Relative energy among the computed polymorphs: 2.9 kJ/mol of atoms

Unit cell a=7.839 b=7.839 c=11.844 alpha=90.00 beta=90.00 gamma=146.01
Fractional positions:
Cd: 0.966 0.034 0.750
Te: 0.419 0.581 0.250
Ba: 0.742 0.258 0.250
Te: 0.139 0.861 0.449
Ba: 0.258 0.742 0.750
Te: 0.581 0.419 0.750
Cd: 0.034 0.966 0.250
Te: 0.139 0.861 0.051
Te: 0.861 0.139 0.949
Te: 0.861 0.139 0.551
Hg: 0.500 0.500 0.000
Hg: 0.500 0.500 0.500

---

# 4
Density functional theory data (PBE) for a relaxed ErTaPb2O6 crystal.

Summary:
- Electronic total energy: -7.549 eV per atom

Unit cell a=5.153 b=5.279 c=5.629 alpha=95.72 beta=91.81 gamma=103.78
Fractional positions:
Pb: 0.287 0.713 0.466
O: 0.748 0.271 0.970
O: 0.304 0.301 0.260
O: 0.696 0.699 0.740
O: 0.252 0.729 0.030
O: 0.264 0.244 0.749
Pb: 0.713 0.287 0.534
Er: 0.000 0.000 0.000
O: 0.736 0.756 0.251
Ta: 0.500 0.500 0.000